Material: LiBeCu2
Method: DFT, GGA-PBE
State: optimized geometry

SG	Pmm2
formation energy from the elements	0.03	eV/atom
ρ	5.3	Mg/m³
calculated total energy	-3.425	eV per atom

Geometry as extended XYZ:
```
4
Lattice="2.471 0.000 0.000 0.000 3.702 0.000 0.000 0.000 4.906" Properties=species:S:1:pos:R:3 pbc="T T T"
Be 1.235 1.851 3.803
Cu 0.000 0.000 4.799
Cu 1.235 1.851 1.232
Li 0.000 0.000 2.431
```

=====

Material: LiBe6Cu6
Method: DFT, GGA-PBE
State: optimized geometry

SG	P6/mmm
formation energy from the elements	-0.08	eV/atom
ρ	5.5	Mg/m³
calculated total energy	-3.840	eV per atom

Geometry as extended XYZ:
```
13
Lattice="4.419 -0.094 0.000 -2.128 3.874 0.000 0.000 0.000 7.888" Properties=species:S:1:pos:R:3 pbc="T T T"
Li 0.000 0.000 0.000
Be 2.209 -0.047 1.932
Be -1.064 1.937 1.932
Be 1.146 1.890 1.932
Be -1.064 1.937 5.956
Be 2.209 -0.047 5.956
Be 1.146 1.890 5.956
Cu 0.000 0.000 2.741
Cu 0.000 0.000 5.148
Cu 2.237 1.229 0.000
Cu 0.054 2.551 0.000
Cu 2.237 1.229 3.944
Cu 0.054 2.551 3.944
```

=====

Material: LiBeCu2
Method: DFT, GGA-PBE
State: optimized geometry

SG	Cmm2
formation energy from the elements	0.09	eV/atom
ρ	5.2	Mg/m³
calculated total energy	-3.372	eV per atom

Geometry as extended XYZ:
```
4
Lattice="2.446 -0.029 0.000 -0.855 2.292 0.000 0.000 0.000 8.240" Properties=species:S:1:pos:R:3 pbc="T T T"
Be 0.796 1.132 6.293
Cu 0.000 0.000 8.109
Cu 0.796 1.132 2.022
Li 0.000 0.000 4.176
```

=====

Material: LiBeCu4
Method: DFT, GGA-PBE
State: optimized geometry

SG	P-1
formation energy from the elements	-0.03	eV/atom
ρ	6.5	Mg/m³
relative energy among the computed polymorphs	0.0	meV per atom
calculated total energy	-3.697	eV per atom

Geometry as extended XYZ:
```
12
Lattice="4.339 0.089 -1.083 -1.039 4.367 -0.801 0.051 1.258 6.910" Properties=species:S:1:pos:R:3 pbc="T T T"
Li 0.543 2.166 2.624
Li 2.807 3.548 2.401
Be 2.070 5.073 5.127
Be 1.280 0.641 -0.102
Cu 3.553 1.607 -0.464
Cu -0.612 4.027 1.047
Cu 0.701 4.765 3.253
Cu 2.649 0.950 1.772
Cu -0.203 4.107 5.490
Cu 1.838 2.840 4.722
Cu 1.512 2.874 0.303
Cu 3.963 1.687 3.979
```

=====

Material: LiBeCu
Method: DFT, GGA-PBE
State: optimized geometry

SG	Imm2
formation energy from the elements	0.05	eV/atom
ρ	3.8	Mg/m³
relative energy among the computed polymorphs	68.4	meV per atom
calculated total energy	-3.197	eV per atom

Geometry as extended XYZ:
```
3
Lattice="4.763 0.326 -0.127 2.764 3.892 0.127 -3.473 -2.627 1.960" Properties=species:S:1:pos:R:3 pbc="T T T"
Be 7.313 4.098 0.000
Cu 2.732 1.531 0.000
Li 5.009 2.807 0.000
```

=====

Material: Li2Be2Cu
Method: DFT, GGA-PBE
State: optimized geometry

SG	P4/mbm
formation energy from the elements	0.28	eV/atom
ρ	2.9	Mg/m³
calculated total energy	-2.794	eV per atom

Geometry as extended XYZ:
```
10
Lattice="-4.004 4.872 0.563 -3.457 -3.318 4.138 1.522 1.010 2.081" Properties=species:S:1:pos:R:3 pbc="T T T"
Be -4.529 -1.076 3.834
Be -5.664 2.193 3.077
Be -2.931 2.630 0.867
Be -1.796 -0.639 1.623
Cu 0.000 0.000 0.000
Cu -3.730 0.777 2.350
Li -2.245 -0.888 3.914
Li -4.791 1.025 4.848
Li -3.694 3.452 2.867
Li -1.147 1.539 1.934
```

=====

Material: Li2BeCu
Method: DFT, GGA-PBE
State: optimized geometry

SG	I4/mmm
formation energy from the elements	0.12	eV/atom
ρ	3.0	Mg/m³
calculated total energy	-2.797	eV per atom

Geometry as extended XYZ:
```
4
Lattice="-1.636 3.493 -2.877 -4.721 0.826 -0.426 3.284 -0.619 3.461" Properties=species:S:1:pos:R:3 pbc="T T T"
Be -2.308 1.183 0.692
Cu -0.765 2.517 -0.533
Li 0.000 0.000 0.000
Li -3.178 2.159 -1.651
```

=====

Material: Li2BeCu2
Method: DFT, GGA-PBE
State: optimized geometry

SG	P4/mbm
formation energy from the elements	0.26	eV/atom
ρ	4.2	Mg/m³
relative energy among the computed polymorphs	152.5	meV per atom
calculated total energy	-2.893	eV per atom

Geometry as extended XYZ:
```
10
Lattice="-0.935 6.292 -1.855 -0.074 -1.883 -6.352 -2.654 -0.354 0.136" Properties=species:S:1:pos:R:3 pbc="T T T"
Be 0.000 0.000 0.000
Be -0.504 2.204 -4.103
Cu -1.545 -0.326 -4.584
Cu -2.023 2.555 -6.403
Cu -2.118 4.380 -3.487
Cu -1.640 1.499 -1.668
Li -0.417 0.721 -6.272
Li -0.866 4.346 -5.583
Li -0.592 3.687 -1.935
Li -0.143 0.062 -2.624
```